Material: MgCr2Br
Method: DFT, PBE
State: relaxed

a = 4.2308 Å, b = 4.2308 Å, c = 9.3018 Å
α = 90.00°, β = 90.00°, γ = 90.00°
With the nearest neighbours (Å) after each atom.
Sites, in units of the cell vectors:
1 Mg 0.0000 0.0000 0.0000  4 Br 2.99, 8 Cr 3.14
2 Mg 0.5000 0.5000 0.5000  4 Br 2.99, 8 Cr 3.14
3 Cr 0.0000 0.5000 0.2500  4 Cr 2.99, 4 Br 3.14, 4 Mg 3.14
4 Cr 0.0000 0.5000 0.7500  4 Cr 2.99, 4 Br 3.14, 4 Mg 3.14
5 Cr 0.5000 0.0000 0.2500  4 Cr 2.99, 4 Br 3.14, 4 Mg 3.14
6 Cr 0.5000 0.0000 0.7500  4 Cr 2.99, 4 Br 3.14, 4 Mg 3.14
7 Br 0.0000 0.0000 0.5000  4 Mg 2.99, 8 Cr 3.14
8 Br 0.5000 0.5000 0.0000  4 Mg 2.99, 8 Cr 3.14

Values from the calculation:
V (Å³/cell): 166.50
Crystal system: tetragonal
Energy above the most stable polymorph in this dataset (eV per formula unit): 1.903
E_form (uncorrected) (meV per atom): 659